Entry from Alexandria: an optimized crystal structure of Rb8Mn3O8 (PBE with a Hubbard U).

Summary:
The space-group type is C2/m, No. 12. The uncorrected energy is -93.2 eV for the cell shown.

a = 5.6499 Å, b = 9.0018 Å, c = 10.7949 Å
α = 110.22°, β = 105.17°, γ = 90.00°
Last column: nearest neighbours and their distance in Å.
Atoms (fractional coordinates):
1 Mn 0.1894 0.1884 0.3789  3 O 1.73-1.75
2 Mn 0.5000 0.5000 0.0000  2 O 1.85
3 Mn 0.8105 0.8116 0.6211  3 O 1.73-1.75
4 Rb 0.3304 0.5506 0.6609  5 O 2.93-3.15
5 Rb 0.0305 0.2333 0.0609  5 O 2.92-3.08
6 Rb 0.3950 0.0631 0.7900  3 O 2.76-2.90
7 Rb 0.6696 0.4494 0.3391  5 O 2.93-3.15
8 Rb 0.1956 0.8046 0.3912  4 O 2.90-3.14
9 Rb 0.9695 0.7667 0.9391  5 O 2.92-3.08
10 Rb 0.8044 0.1954 0.6088  4 O 2.90-3.14
11 Rb 0.6050 0.9369 0.2100  3 O 2.76-2.90
12 O 0.7291 0.8244 0.4581  1 Mn 1.74
13 O 0.8842 0.9837 0.7684  1 Mn 1.75
14 O 0.1158 0.0163 0.2316  1 Mn 1.75
15 O 0.8194 0.6281 0.6388  1 Mn 1.73
16 O 0.4807 0.6852 0.9615  1 Mn 1.85
17 O 0.2709 0.1756 0.5419  1 Mn 1.74
18 O 0.5193 0.3148 0.0385  1 Mn 1.85
19 O 0.1806 0.3719 0.3612  1 Mn 1.73